(1)
VASP calculation (PBE) on TePRu2 after structural relaxation.

The value obtained for the polymorph energy (0 for the lowest one) is 403.7 meV per atom. The calculated volume is 228.3 Å³ per cell. The energy relative to the elements, uncorrected is 207 meV per atom.

The space group is R3m (No. 160, hexagonal axes) and the conventional cell measures 3.0392, 3.0392 and 28.5427 Å, with angles of 90.00, 90.00 and 120.00 degrees. Symmetry generates all atoms from Te at (0.0000, 0.0000, 0.0000), P at (0.0000, 0.0000, 0.2034), Ru at (0.0000, 0.0000, 0.4825) and Ru at (0.0000, 0.0000, 0.7363).

(2)
VASP calculation (PBE) on TeP2Ru after structural relaxation.

The calculated volume is 78.1 Å³ per cell. The energy relative to the elements, uncorrected is 26 meV per atom.

The space group is Pm (No. 6) and the conventional cell measures 3.848, 3.874 and 5.313 Å, with angles of 90.00, 99.60 and 90.00 degrees. Symmetry generates all atoms from Te at (0.000, 0.000, 0.000), P at (0.349, 0.000, 0.464), P at (0.693, 0.500, 0.443) and Ru at (0.229, 0.500, 0.705).

(3)
VASP calculation (PBE) on Te2PRu after structural relaxation.

The calculated volume is 178.7 Å³ per cell. The energy relative to the elements, uncorrected is 212 meV per atom.

The space group is Imm2 (No. 44) and the conventional cell measures 3.116, 4.962 and 11.560 Å, with angles of 90.00, 90.00 and 90.00 degrees. Symmetry generates all atoms from Te at (0.000, 0.000, 0.000), Te at (0.000, 0.500, 0.193), P at (0.000, 0.000, 0.359) and Ru at (0.000, 0.500, 0.713).

(4)
VASP calculation (PBE) on Te2PRu after structural relaxation.

The calculated volume is 80.1 Å³ per cell. The energy relative to the elements, uncorrected is 750 meV per atom.

The space group is Pmmm (No. 47) and the conventional cell measures 3.395, 4.572 and 5.163 Å, with angles of 90.00, 90.00 and 90.00 degrees. Symmetry generates all atoms from Te at (0.000, 0.000, 0.000), Te at (0.500, 0.000, 0.500), P at (0.000, 0.500, 0.500) and Ru at (0.500, 0.500, 0.000).

(5)
VASP calculation (PBE) on TePRu after structural relaxation.

The value obtained for the polymorph energy (0 for the lowest one) is 156.6 meV per atom. The calculated volume is 112.0 Å³ per cell. The energy relative to the elements, uncorrected is 38 meV per atom.

The space group is I4mm (No. 107) and the conventional cell measures 3.019, 3.019 and 12.296 Å, with angles of 90.00, 90.00 and 90.00 degrees. Symmetry generates all atoms from Te at (0.000, 0.000, 0.000), P at (0.000, 0.000, 0.270) and Ru at (0.000, 0.000, 0.673).

(6)
VASP calculation (PBE) on TePRu2 after structural relaxation.

The value obtained for the polymorph energy (0 for the lowest one) is 163.8 meV per atom. The calculated volume is 336.4 Å³ per cell. The energy relative to the elements, uncorrected is -33 meV per atom.

The space group is I-42d (No. 122) and the conventional cell measures 5.423, 5.423 and 11.440 Å, with angles of 90.00, 90.00 and 90.00 degrees. Symmetry generates all atoms from Te at (0.000, 0.000, 0.000), P at (0.000, 0.000, 0.500) and Ru at (0.195, 0.250, 0.625).